[1]
A plane-wave DFT calculation with PBE was carried out for a relaxed structure of LiTaFeIr2.

```
LiTaFeIr2
1.0
-3.618 -2.073 2.394
-0.762 -2.809 -3.583
3.066 -3.203 1.860
Ir Li Ta Fe
2 1 1 1
Direct
0.500 0.000 0.000 Ir
0.000 0.000 0.500 Ir
0.500 0.500 0.500 Li
0.000 0.000 0.000 Ta
0.000 0.500 0.000 Fe
```

Values from the calculation:
The calculated formation energy is 1154 meV/atom. As for the theoretical density: 9.77 g/cm3.

---

[2]
A plane-wave DFT calculation with PBE was carried out for a relaxed structure of Sr2CdGa5.

```
Sr2CdGa5
1.0
-1.870 4.145 0.317
-7.060 -5.723 0.420
0.839 -0.343 9.443
Ga Sr Cd
10 4 2
Direct
0.651 0.303 0.485 Ga
0.349 0.697 0.985 Ga
0.810 0.620 0.107 Ga
0.404 0.807 0.250 Ga
0.190 0.380 0.607 Ga
0.190 0.380 0.893 Ga
0.349 0.697 0.515 Ga
0.651 0.303 0.015 Ga
0.596 0.193 0.750 Ga
0.810 0.620 0.393 Ga
0.797 0.594 0.750 Sr
0.203 0.406 0.250 Sr
0.000 0.000 0.500 Sr
0.000 0.000 0.000 Sr
0.442 0.885 0.750 Cd
0.558 0.115 0.250 Cd
```

Values from the calculation:
The calculated formation energy is -386 meV/atom. As for the theoretical density: 5.55 g/cm3.

---

[3]
A plane-wave DFT calculation with PBE was carried out for a relaxed structure of AlRePb2O6.

```
AlRePb2O6
1.0
5.566 0.000 0.000
0.000 5.566 0.000
0.000 0.000 7.874
Pb O Al Re
4 12 2 2
Direct
0.000 0.250 0.750 Pb
0.000 0.250 0.250 Pb
0.500 0.750 0.750 Pb
0.500 0.750 0.250 Pb
0.747 0.497 0.000 O
0.500 0.250 0.247 O
0.000 0.750 0.747 O
0.253 0.003 0.000 O
0.747 0.003 0.000 O
0.753 0.503 0.500 O
0.500 0.250 0.753 O
0.253 0.497 0.000 O
0.753 0.997 0.500 O
0.247 0.997 0.500 O
0.247 0.503 0.500 O
0.000 0.750 0.253 O
0.500 0.250 0.000 Al
0.000 0.750 0.500 Al
0.000 0.750 0.000 Re
0.500 0.250 0.500 Re
```

Values from the calculation:
The uncorrected formation energy comes out at -1.631 eV per atom. As for the theoretical density: 9.85 g/cm3.

---

[4]
A plane-wave DFT calculation with PBE was carried out for a relaxed structure of RbCaSb3.

```
RbCaSb3
1.0
5.922 0.000 0.000
0.000 5.922 0.000
0.000 0.000 5.922
Ca Sb Rb
1 3 1
Direct
0.500 0.500 0.500 Ca
0.500 0.000 0.000 Sb
0.000 0.000 0.500 Sb
0.000 0.500 0.000 Sb
0.000 0.000 0.000 Rb
```

Values from the calculation:
The uncorrected formation energy comes out at 0.829 eV per atom. As for the theoretical density: 3.92 g/cm3. For the energy relative to the lowest polymorph listed for this composition, the calculation gives 767.2 meV per atom.

---

[5]
A plane-wave DFT calculation with PBE was carried out for a relaxed structure of Nd6HoTl2.

```
Nd6HoTl2
1.0
6.018 -0.119 -0.115
1.491 9.825 1.276
1.491 1.594 9.779
Ho Nd Tl
2 12 4
Direct
0.250 0.144 0.856 Ho
0.750 0.856 0.144 Ho
0.699 0.225 0.002 Nd
0.667 0.113 0.361 Nd
0.199 0.002 0.225 Nd
0.333 0.887 0.639 Nd
0.466 0.672 0.445 Nd
0.167 0.361 0.113 Nd
0.833 0.639 0.887 Nd
0.301 0.775 0.998 Nd
0.034 0.555 0.328 Nd
0.534 0.328 0.555 Nd
0.801 0.998 0.775 Nd
0.966 0.445 0.672 Nd
0.901 0.793 0.518 Tl
0.599 0.482 0.207 Tl
0.401 0.518 0.793 Tl
0.099 0.207 0.482 Tl
```

Values from the calculation:
The calculated formation energy is -116 meV/atom. As for the theoretical density: 8.40 g/cm3. For the energy relative to the lowest polymorph listed for this composition, the calculation gives 34.8 meV per atom.

---

[6]
A plane-wave DFT calculation with PBE was carried out for a relaxed structure of Tm2AlH2.

```
Tm2AlH2
1.0
-2.024 1.794 -2.264
-2.832 -1.779 1.122
1.411 4.375 4.953
Al Tm H
1 2 2
Direct
0.000 0.000 0.000 Al
0.647 0.647 0.295 Tm
0.353 0.353 0.705 Tm
0.750 0.250 0.500 H
0.250 0.750 0.500 H
```

Values from the calculation:
Its electronic total energy is -4.46 eV/atom. As for the theoretical density: 7.80 g/cm3.